# 1
Below is an optimized crystal structure of Tb3SmS6, with properties calculated at the GGA-PBE level.

POSCAR file:
```
Tb3SmS6
1.0
11.100 0.000 0.000
0.000 3.993 0.000
-3.625 0.000 10.787
Tb Sm S
6 2 12
direct
0.065 0.250 0.168
0.181 0.750 0.503
0.339 0.250 0.915
0.661 0.750 0.085
0.819 0.250 0.497
0.935 0.750 0.832
0.454 0.250 0.308
0.546 0.750 0.692
0.022 0.250 0.388
0.102 0.250 0.938
0.242 0.750 0.275
0.307 0.750 0.751
0.386 0.250 0.537
0.418 0.750 0.097
0.582 0.250 0.903
0.614 0.750 0.463
0.693 0.250 0.249
0.758 0.250 0.725
0.898 0.750 0.062
0.978 0.750 0.612
```

---

# 2
Below is an optimized crystal structure of TbSm2S, with properties calculated at the GGA-PBE level.

POSCAR file:
```
TbSm2S
1.0
1.893 1.093 9.505
-1.893 1.093 9.505
0.000 -2.186 9.505
Tb Sm S
1 2 1
direct
0.000 0.000 0.000
0.228 0.228 0.228
0.772 0.772 0.772
0.500 0.500 0.500
```

---

# 3
Below is an optimized crystal structure of Tb4SmS6, with properties calculated at the GGA-PBE level.

POSCAR file:
```
Tb4SmS6
1.0
1.935 -6.471 0.000
1.935 6.471 0.000
0.000 0.000 19.949
Tb Sm S
8 2 12
direct
0.092 0.908 0.627
0.092 0.908 0.873
0.361 0.639 0.540
0.361 0.639 0.960
0.639 0.361 0.040
0.639 0.361 0.460
0.908 0.092 0.127
0.908 0.092 0.373
0.153 0.847 0.250
0.847 0.153 0.750
0.000 0.000 0.000
0.000 0.000 0.500
0.190 0.810 0.750
0.269 0.731 0.089
0.269 0.731 0.411
0.451 0.549 0.667
0.451 0.549 0.833
0.549 0.451 0.167
0.549 0.451 0.333
0.731 0.269 0.589
0.731 0.269 0.911
0.810 0.190 0.250
```

---

# 4
Below is an optimized crystal structure of TbSm4S5, with properties calculated at the GGA-PBE level.

POSCAR file:
```
TbSm4S5
1.0
-1.996 2.821 9.991
1.996 -2.821 9.991
1.996 2.821 -9.991
Tb Sm S
1 4 5
direct
0.000 0.000 0.000
0.199 0.199 0.000
0.400 0.400 0.000
0.600 0.600 0.000
0.801 0.801 0.000
0.097 0.597 0.500
0.300 0.800 0.500
0.500 0.000 0.500
0.700 0.200 0.500
0.903 0.403 0.500
```

---

# 5
GGA-PBE TbSm6S8, relaxed; distance to the lowest polymorph of the same formula = 405.4 meV per atom
1.0
6.034 3.484 3.936
-6.034 3.484 3.936
0.000 -6.968 3.936
Tb Sm S
1 6 8
direct
0.000 0.000 0.000
0.183 0.556 0.357
0.357 0.183 0.556
0.444 0.643 0.817
0.556 0.357 0.183
0.643 0.817 0.444
0.817 0.444 0.643
0.155 0.418 0.659
0.223 0.223 0.223
0.341 0.845 0.582
0.418 0.659 0.155
0.582 0.341 0.845
0.659 0.155 0.418
0.777 0.777 0.777
0.845 0.582 0.341

---

# 6
Below is an optimized crystal structure of Tb2Sm4S9, with properties calculated at the GGA-PBE level.

POSCAR file:
```
Tb2Sm4S9
1.0
7.046 0.000 0.000
-3.523 6.102 0.000
0.000 0.000 18.724
Tb Sm S
4 8 18
direct
0.000 0.000 0.149
0.000 0.000 0.351
0.000 0.000 0.649
0.000 0.000 0.851
0.333 0.667 0.185
0.333 0.667 0.480
0.333 0.667 0.685
0.333 0.667 0.980
0.667 0.333 0.020
0.667 0.333 0.315
0.667 0.333 0.520
0.667 0.333 0.815
0.000 0.295 0.250
0.000 0.705 0.750
0.037 0.363 0.583
0.037 0.674 0.083
0.295 0.000 0.250
0.295 0.295 0.750
0.326 0.363 0.083
0.326 0.963 0.583
0.363 0.037 0.917
0.363 0.326 0.417
0.637 0.674 0.583
0.637 0.963 0.083
0.674 0.037 0.417
0.674 0.637 0.917
0.705 0.000 0.750
0.705 0.705 0.250
0.963 0.326 0.917
0.963 0.637 0.417
```

---

# 7
Below is an optimized crystal structure of Tb2SmS3, with properties calculated at the GGA-PBE level.

POSCAR file:
```
Tb2SmS3
1.0
-1.982 2.793 5.924
1.982 -2.793 5.924
1.982 2.793 -5.924
Tb Sm S
2 1 3
direct
0.164 0.164 0.000
0.836 0.836 0.000
0.500 0.500 0.000
0.000 0.500 0.500
0.329 0.829 0.500
0.671 0.171 0.500
```

---

# 8
Below is an optimized crystal structure of TbSmTeS, with properties calculated at the GGA-PBE level.

POSCAR file:
```
TbSmTeS
1.0
2.039 1.177 7.207
-2.039 1.177 7.207
0.000 -2.355 7.207
Tb Sm Te S
1 1 1 1
direct
0.000 0.000 0.000
0.194 0.194 0.194
0.429 0.429 0.429
0.601 0.601 0.601
```

---

# 9
Below is an optimized crystal structure of TbSmTe2S, with properties calculated at the GGA-PBE level.

POSCAR file:
```
TbSmTe2S
1.0
4.437 0.000 0.000
0.000 4.437 0.000
0.000 0.000 15.754
Tb Sm Te S
2 2 4 2
direct
0.250 0.250 0.113
0.750 0.750 0.887
0.250 0.250 0.603
0.750 0.750 0.397
0.250 0.250 0.298
0.250 0.250 0.908
0.750 0.750 0.092
0.750 0.750 0.702
0.250 0.750 0.500
0.750 0.250 0.500
```

---

# 10
Below is an optimized crystal structure of TbSm2Th3S6, with properties calculated at the GGA-PBE level.

POSCAR file:
```
TbSm2Th3S6
1.0
3.455 -5.931 0.000
3.455 5.931 0.000
-2.261 0.000 6.682
Tb Sm Th S
1 2 3 6
direct
0.000 0.000 0.000
0.334 0.666 0.000
0.666 0.334 0.000
0.169 0.831 0.500
0.500 0.500 0.500
0.831 0.169 0.500
0.080 0.409 0.240
0.247 0.247 0.756
0.409 0.080 0.240
0.591 0.920 0.760
0.753 0.753 0.244
0.920 0.591 0.760
```

---

# 11
Below is an optimized crystal structure of Tb3SmTh2S6, with properties calculated at the GGA-PBE level.

POSCAR file:
```
Tb3SmTh2S6
1.0
3.429 -5.919 0.000
3.429 5.919 0.000
-2.280 0.000 6.586
Tb Sm Th S
3 1 2 6
direct
0.000 0.000 0.000
0.335 0.665 0.000
0.665 0.335 0.000
0.500 0.500 0.500
0.167 0.833 0.500
0.833 0.167 0.500
0.080 0.413 0.238
0.254 0.254 0.760
0.413 0.080 0.238
0.587 0.920 0.762
0.746 0.746 0.240
0.920 0.587 0.762
```

---

# 12
Below is an optimized crystal structure of Tb4Sm3ThS8, with properties calculated at the GGA-PBE level.

POSCAR file:
```
Tb4Sm3ThS8
1.0
3.964 2.288 6.521
-3.964 2.288 6.521
0.000 -4.577 6.521
Tb Sm Th S
4 3 1 8
direct
0.000 0.000 0.000
0.000 0.500 0.500
0.500 0.000 0.500
0.500 0.500 0.000
0.000 0.000 0.500
0.000 0.500 0.000
0.500 0.000 0.000
0.500 0.500 0.500
0.247 0.247 0.748
0.247 0.748 0.247
0.252 0.753 0.753
0.253 0.253 0.253
0.747 0.747 0.747
0.748 0.247 0.247
0.753 0.252 0.753
0.753 0.753 0.252
```

---

# 13
Below is an optimized crystal structure of TbSm4Th3S8, with properties calculated at the GGA-PBE level.

POSCAR file:
```
TbSm4Th3S8
1.0
3.995 2.306 6.603
-3.995 2.306 6.603
0.000 -4.613 6.603
Tb Sm Th S
1 4 3 8
direct
0.000 0.000 0.000
0.000 0.000 0.500
0.000 0.500 0.000
0.500 0.000 0.000
0.500 0.500 0.500
0.000 0.500 0.500
0.500 0.000 0.500
0.500 0.500 0.000
0.244 0.752 0.752
0.248 0.248 0.248
0.248 0.248 0.756
0.248 0.756 0.248
0.752 0.244 0.752
0.752 0.752 0.244
0.752 0.752 0.752
0.756 0.248 0.248
```

---

# 14
Below is an optimized crystal structure of Tb4SmTh3S8, with properties calculated at the GGA-PBE level.

POSCAR file:
```
Tb4SmTh3S8
1.0
3.941 2.276 6.625
-3.941 2.276 6.625
0.000 -4.551 6.625
Tb Sm Th S
4 1 3 8
direct
0.000 0.000 0.000
0.000 0.500 0.500
0.500 0.000 0.500
0.500 0.500 0.000
0.500 0.500 0.500
0.000 0.000 0.500
0.000 0.500 0.000
0.500 0.000 0.000
0.247 0.247 0.744
0.247 0.744 0.247
0.254 0.254 0.254
0.256 0.753 0.753
0.744 0.247 0.247
0.746 0.746 0.746
0.753 0.256 0.753
0.753 0.753 0.256
```

---

# 15
Below is an optimized crystal structure of Tb3SmTh4S8, with properties calculated at the GGA-PBE level.

POSCAR file:
```
Tb3SmTh4S8
1.0
3.936 2.272 6.714
-3.936 2.272 6.714
0.000 -4.545 6.714
Tb Sm Th S
3 1 4 8
direct
0.000 0.500 0.500
0.500 0.000 0.500
0.500 0.500 0.000
0.000 0.000 0.000
0.000 0.000 0.500
0.000 0.500 0.000
0.500 0.000 0.000
0.500 0.500 0.500
0.248 0.248 0.743
0.248 0.743 0.248
0.255 0.255 0.255
0.257 0.752 0.752
0.743 0.248 0.248
0.745 0.745 0.745
0.752 0.257 0.752
0.752 0.752 0.257
```

---

# 16
Below is an optimized crystal structure of TbSmTh2S4, with properties calculated at the GGA-PBE level.

POSCAR file:
```
TbSmTh2S4
1.0
6.849 0.000 0.000
0.000 4.001 0.000
-2.318 0.000 6.629
Tb Sm Th S
1 1 2 4
direct
0.000 0.000 0.000
0.500 0.500 0.000
0.000 0.500 0.500
0.500 0.000 0.500
0.243 0.500 0.239
0.249 0.000 0.758
0.751 0.000 0.242
0.757 0.500 0.761
```

---

# 17
Below is an optimized crystal structure of Tb3Sm2ThS6, with properties calculated at the GGA-PBE level.

POSCAR file:
```
Tb3Sm2ThS6
1.0
8.676 -1.983 0.000
8.676 1.983 0.000
-1.905 0.000 7.743
Tb Sm Th S
3 2 1 6
direct
0.000 0.000 0.000
0.334 0.334 0.666
0.666 0.666 0.334
0.335 0.335 0.170
0.665 0.665 0.830
0.000 0.000 0.500
0.166 0.166 0.088
0.170 0.170 0.580
0.498 0.498 0.758
0.502 0.502 0.242
0.830 0.830 0.420
0.834 0.834 0.912
```

---

# 18
Below is an optimized crystal structure of TbSm2ThS4, with properties calculated at the GGA-PBE level.

POSCAR file:
```
TbSm2ThS4
1.0
6.924 0.000 0.000
0.000 3.977 0.000
-2.292 0.000 6.563
Tb Sm Th S
1 2 1 4
direct
0.000 0.000 0.000
0.500 0.000 0.500
0.500 0.500 0.000
0.000 0.500 0.500
0.246 0.500 0.244
0.250 0.000 0.756
0.750 0.000 0.244
0.754 0.500 0.756
```

---

# 19
Below is an optimized crystal structure of Tb2Sm3ThS6, with properties calculated at the GGA-PBE level.

POSCAR file:
```
Tb2Sm3ThS6
1.0
8.680 -1.993 0.000
8.680 1.993 0.000
-1.814 0.000 7.785
Tb Sm Th S
2 3 1 6
direct
0.166 0.166 0.331
0.834 0.834 0.669
0.164 0.164 0.834
0.500 0.500 0.500
0.836 0.836 0.166
0.500 0.500 0.000
0.003 0.003 0.255
0.331 0.331 0.421
0.331 0.331 0.910
0.669 0.669 0.090
0.669 0.669 0.579
0.997 0.997 0.745
```

---

| no. | density (kg/m3) | formation energy (no corrections) (eV per atom) |
| --- | --- | --- |
| 1 | 5693 | -2.081 |
| 2 | 6918 | -0.899 |
| 3 | 6504 | -2.051 |
| 4 | 6793 | -2.016 |
| 5 | 4407 | -1.653 |
| 6 | 4982 | -2.039 |
| 7 | 7145 | -2.012 |
| 8 | 7498 | -1.725 |
| 9 | 6388 | -1.489 |
| 10 | 8174 | -1.915 |
| 11 | 7972 | -1.942 |
| 12 | 7372 | -1.986 |
| 13 | 7793 | -1.945 |
| 14 | 8098 | -1.942 |
| 15 | 8350 | -1.923 |
| 16 | 8242 | -1.915 |
| 17 | 7493 | -1.978 |
| 18 | 7535 | -1.964 |
| 19 | 7357 | -1.980 |